Below is a relaxed structure of Mn2InOs, with properties calculated at the PBE level.

Structure (POSCAR):
```
Mn2InOs
1.0
-1.508 2.226 4.474
1.508 -2.226 4.474
1.508 2.226 -4.474
Mn In Os
2 1 1
Direct
0.000 0.000 0.000
0.760 0.260 0.500
0.497 0.497 0.000
0.229 0.729 0.500
```

Computed properties:
V in Å³ per cell: 60.07
Formation energy in eV per atom: 0.303
Symmetry: Imm2 (44)
Magnetization in μB/f.u.: 5.63


Below is a relaxed structure of MnInP2, with properties calculated at the PBE level.

Structure (POSCAR):
```
MnInP2
1.0
4.471 0.000 0.000
0.000 4.471 0.000
0.000 0.000 3.455
Mn In P
1 1 2
Direct
0.000 0.000 0.000
0.500 0.500 0.000
0.000 0.500 0.500
0.500 0.000 0.500
```

Computed properties:
V in Å³ per cell: 69.06
Formation energy in eV per atom: 0.381
Symmetry: P4/mmm (123)
Magnetization in μB/f.u.: 3.86


Below is a relaxed structure of MnInP2, with properties calculated at the PBE level.

Structure (POSCAR):
```
MnInP2
1.0
2.954 0.000 0.000
0.000 2.954 0.000
0.000 0.000 7.364
Mn In P
1 1 2
Direct
0.000 0.000 0.000
0.500 0.500 0.712
0.000 0.000 0.322
0.500 0.500 0.131
```

Computed properties:
V in Å³ per cell: 64.25
Formation energy in eV per atom: 0.131
Symmetry: P4mm (99)
Magnetization in μB/f.u.: 0.00


Below is a relaxed structure of Mn2InP, with properties calculated at the PBE level.

Structure (POSCAR):
```
Mn2InP
1.0
0.000 2.996 2.996
2.996 0.000 2.996
2.996 2.996 0.000
Mn In P
2 1 1
Direct
0.250 0.250 0.250
0.750 0.750 0.750
0.000 0.000 0.000
0.500 0.500 0.500
```

Computed properties:
V in Å³ per cell: 53.76
Formation energy in eV per atom: 0.401
Symmetry: Fm-3m (225)
Magnetization in μB/f.u.: 1.94


Below is a relaxed structure of Mn2InP, with properties calculated at the PBE level.

Structure (POSCAR):
```
Mn2InP
1.0
-2.017 2.017 3.932
2.017 -2.017 3.932
2.017 2.017 -3.932
Mn In P
2 1 1
Direct
0.250 0.750 0.500
0.750 0.250 0.500
0.000 0.000 0.000
0.500 0.500 0.000
```

Computed properties:
V in Å³ per cell: 64.00
Formation energy in eV per atom: 0.260
Symmetry: I4/mmm (139)
Magnetization in μB/f.u.: 7.01


Below is a relaxed structure of Mn2InP, with properties calculated at the PBE level.

Structure (POSCAR):
```
Mn2InP
1.0
-1.898 1.898 4.396
1.898 -1.898 4.396
1.898 1.898 -4.396
Mn In P
2 1 1
Direct
0.000 0.000 0.000
0.750 0.250 0.500
0.500 0.500 0.000
0.250 0.750 0.500
```

Computed properties:
V in Å³ per cell: 63.32
Formation energy in eV per atom: 0.189
Symmetry: I-4m2 (119)
Magnetization in μB/f.u.: 6.82


Below is a relaxed structure of MnInP2, with properties calculated at the PBE level.

Structure (POSCAR):
```
MnInP2
1.0
-2.749 2.749 5.519
2.749 -2.749 5.519
2.749 2.749 -5.519
Mn In P
2 2 4
Direct
0.000 0.000 0.000
0.750 0.250 0.500
0.250 0.750 0.500
0.500 0.500 0.000
0.050 0.625 0.925
0.375 0.300 0.425
0.700 0.125 0.075
0.875 0.950 0.575
```

Computed properties:
V in Å³ per cell: 166.85
Formation energy in eV per atom: 0.025
Symmetry: I-42d (122)
Magnetization in μB/f.u.: 0.00


Below is a relaxed structure of MnInP2, with properties calculated at the PBE level.

Structure (POSCAR):
```
MnInP2
1.0
0.000 3.261 3.261
3.261 0.000 3.261
3.261 3.261 0.000
Mn In P
1 1 2
Direct
0.000 0.000 0.000
0.750 0.750 0.750
0.250 0.250 0.250
0.500 0.500 0.500
```

Computed properties:
V in Å³ per cell: 69.34
Formation energy in eV per atom: 0.601
Symmetry: F-43m (216)
Magnetization in μB/f.u.: 3.65


Below is a relaxed structure of Mn2InP, with properties calculated at the PBE level.

Structure (POSCAR):
```
Mn2InP
1.0
3.820 0.000 0.000
0.000 3.803 0.000
-0.507 0.000 4.372
Mn In P
2 1 1
Direct
0.000 0.000 0.000
0.000 0.500 0.500
0.500 0.000 0.500
0.500 0.500 0.000
```

Computed properties:
V in Å³ per cell: 63.51
Formation energy in eV per atom: 0.235
Symmetry: P2/m (10)
Magnetization in μB/f.u.: 6.66


Below is a relaxed structure of Mn2InP2, with properties calculated at the PBE level.

Structure (POSCAR):
```
Mn2InP2
1.0
-1.728 1.728 5.796
1.728 -1.728 5.796
1.728 1.728 -5.796
Mn In P
2 1 2
Direct
0.124 0.124 0.000
0.876 0.876 0.000
0.500 0.500 0.000
0.250 0.750 0.500
0.750 0.250 0.500
```

Computed properties:
V in Å³ per cell: 69.23
Formation energy in eV per atom: -0.139
Symmetry: I4/mmm (139)
Magnetization in μB/f.u.: 0.48


Below is a relaxed structure of Mn2InP, with properties calculated at the PBE level.

Structure (POSCAR):
```
Mn2InP
1.0
-3.373 3.373 2.795
3.373 -3.373 2.795
3.373 3.373 -2.795
Mn In P
4 2 2
Direct
0.060 0.125 0.435
0.375 0.940 0.065
0.690 0.625 0.565
0.875 0.310 0.935
0.250 0.750 0.500
0.500 0.500 0.000
0.000 0.000 0.000
0.750 0.250 0.500
```

Computed properties:
V in Å³ per cell: 127.22
Formation energy in eV per atom: 0.177
Symmetry: I-42d (122)
Magnetization in μB/f.u.: 4.40


Below is a relaxed structure of MnInP2, with properties calculated at the PBE level.

Structure (POSCAR):
```
MnInP2
1.0
3.083 -1.778 0.000
3.083 1.778 0.000
-2.035 0.000 6.477
Mn In P
1 1 2
Direct
0.000 0.000 0.000
0.500 0.500 0.500
0.269 0.269 0.807
0.731 0.731 0.193
```

Computed properties:
V in Å³ per cell: 70.99
Formation energy in eV per atom: -0.069
Symmetry: C2/m (12)
Magnetization in μB/f.u.: 2.60


Below is a relaxed structure of Mn2InP, with properties calculated at the PBE level.

Structure (POSCAR):
```
Mn2InP
1.0
-1.504 1.604 6.440
1.504 -1.604 6.440
1.504 1.604 -6.440
Mn In P
2 1 1
Direct
0.000 0.000 0.000
0.826 0.326 0.500
0.642 0.642 0.000
0.376 0.876 0.500
```

Computed properties:
V in Å³ per cell: 62.16
Formation energy in eV per atom: -0.081
Symmetry: Imm2 (44)
Magnetization in μB/f.u.: 4.03


Below is a relaxed structure of MnInP2, with properties calculated at the PBE level.

Structure (POSCAR):
```
MnInP2
1.0
3.573 0.000 0.000
0.000 3.786 0.000
0.000 0.000 5.425
Mn In P
1 1 2
Direct
0.000 0.000 0.000
0.000 0.500 0.500
0.500 0.000 0.500
0.500 0.500 0.000
```

Computed properties:
V in Å³ per cell: 73.38
Formation energy in eV per atom: 0.360
Symmetry: Pmmm (47)
Magnetization in μB/f.u.: 3.72


Below is a relaxed structure of MnInP2, with properties calculated at the PBE level.

Structure (POSCAR):
```
MnInP2
1.0
-1.591 2.411 4.521
1.591 -2.411 4.521
1.591 2.411 -4.521
Mn In P
1 1 2
Direct
0.000 0.000 0.000
0.717 0.217 0.500
0.258 0.758 0.500
0.444 0.444 0.000
```

Computed properties:
V in Å³ per cell: 69.37
Formation energy in eV per atom: 0.320
Symmetry: Imm2 (44)
Magnetization in μB/f.u.: 3.93


Below is a relaxed structure of MnInP2, with properties calculated at the PBE level.

Structure (POSCAR):
```
MnInP2
1.0
1.648 0.952 7.206
-1.648 0.952 7.206
0.000 -1.903 7.206
Mn In P
1 1 2
Direct
0.000 0.000 0.000
0.764 0.764 0.764
0.262 0.262 0.262
0.532 0.532 0.532
```

Computed properties:
V in Å³ per cell: 67.84
Formation energy in eV per atom: 0.208
Symmetry: R3m (160)
Magnetization in μB/f.u.: 3.10


Below is a relaxed structure of Mn2InP, with properties calculated at the PBE level.

Structure (POSCAR):
```
Mn2InP
1.0
3.147 0.000 0.000
0.000 3.147 0.000
0.000 0.000 6.405
Mn In P
2 1 1
Direct
0.000 0.000 0.000
0.500 0.500 0.249
0.500 0.500 0.730
0.000 0.000 0.371
```

Computed properties:
V in Å³ per cell: 63.45
Formation energy in eV per atom: 0.023
Symmetry: P4mm (99)
Magnetization in μB/f.u.: 5.43


Below is a relaxed structure of MnInP2, with properties calculated at the PBE level.

Structure (POSCAR):
```
MnInP2
1.0
1.479 0.854 8.813
-1.479 0.854 8.813
0.000 -1.708 8.813
Mn In P
1 1 2
Direct
0.000 0.000 0.000
0.500 0.500 0.500
0.274 0.274 0.274
0.726 0.726 0.726
```

Computed properties:
V in Å³ per cell: 66.77
Formation energy in eV per atom: -0.003
Symmetry: R-3m (166)
Magnetization in μB/f.u.: 0.00


Below is a relaxed structure of MnInP2, with properties calculated at the PBE level.

Structure (POSCAR):
```
MnInP2
1.0
2.781 -3.649 0.000
2.781 3.649 0.000
-1.529 0.000 3.619
Mn In P
1 1 2
Direct
0.000 0.000 0.000
0.500 0.500 0.000
0.000 0.500 0.500
0.500 0.000 0.500
```

Computed properties:
V in Å³ per cell: 73.45
Formation energy in eV per atom: 0.307
Symmetry: C2/m (12)
Magnetization in μB/f.u.: 3.93


Below is a relaxed structure of Mn2InP, with properties calculated at the PBE level.

Structure (POSCAR):
```
Mn2InP
1.0
2.856 0.000 0.000
0.000 2.856 0.000
0.000 0.000 6.790
Mn In P
2 1 1
Direct
0.000 0.000 0.187
0.000 0.000 0.813
0.500 0.500 0.500
0.500 0.500 0.000
```

Computed properties:
V in Å³ per cell: 55.40
Formation energy in eV per atom: -0.039
Symmetry: P4/mmm (123)
Magnetization in μB/f.u.: 3.22